The following is a DFT calculation (PBE) of a geometry-optimized Pu3Zn3Pd2 structure.

The structure belongs to space group C2/m (No. 12); the cell edges are 15.890, 4.493 and 4.663 Å and the angles 90.00°, 104.60° and 90.00°. The distinct sites, in fractional coordinates, are Pu at (0.000, 0.000, 0.000), Pu at (0.132, 0.000, 0.608), Zn at (0.000, 0.500, 0.500), Zn at (0.146, 0.500, 0.144) and Pd at (0.238, 0.000, 0.199).

The calculation puts the total energy at -7.38 eV/atom. The value obtained for the magnetization is 16.8 μB/f.u. The crystal system is monoclinic. The calculation puts the formation energy at -0.23 eV per atom.